No. 1
Be2CuPt | PBE | relaxed

a b c (Å): 3.939 3.939 3.939
angles (deg): 60.00 60.00 60.00
Positions (direct):
Be 0.250 0.250 0.250
Be 0.750 0.750 0.750
Cu 0.000 0.000 0.000
Pt 0.500 0.500 0.500

Calculated values
The calculation puts the formation energy from the elements at -46 kJ/mol of atoms. Its space-group type is Fm-3m (225). As for the total energy: -4.872 eV per atom. Its excess energy over the best structure of this formula in the dataset is 0 meV per atom.

No. 2
Be2CuPt | PBE | relaxed

a b c (Å): 4.014 4.014 4.014
angles (deg): 60.00 60.00 60.00
Positions (direct):
Be 0.000 0.000 0.000
Be 0.250 0.250 0.250
Cu 0.500 0.500 0.500
Pt 0.750 0.750 0.750

Calculated values
The calculation puts the formation energy from the elements at -20 kJ/mol of atoms. Its space-group type is F-43m (216). As for the total energy: -4.600 eV per atom. Its excess energy over the best structure of this formula in the dataset is 271 meV per atom.

No. 3
Be2CuPt | PBE | relaxed

a b c (Å): 7.563 7.563 7.563
angles (deg): 20.53 20.53 20.53
Positions (direct):
Be 0.999 0.999 0.999
Be 0.501 0.501 0.501
Cu 0.250 0.250 0.250
Pt 0.750 0.750 0.750

Calculated values
The calculation puts the formation energy from the elements at -14 kJ/mol of atoms. Its space-group type is R-3m (166). As for the total energy: -4.541 eV per atom. Its excess energy over the best structure of this formula in the dataset is 331 meV per atom.

No. 4
Be6Cu5Pt | PBE | relaxed

a b c (Å): 3.827 5.549 6.091
angles (deg): 90.00 109.36 90.00
Positions (direct):
Be 0.830 0.745 0.664
Be 0.830 0.255 0.664
Be 0.500 0.256 0.000
Be 0.500 0.744 0.000
Be 0.170 0.745 0.336
Be 0.170 0.255 0.336
Pt 0.000 0.000 0.000
Cu 0.669 0.500 0.336
Cu 0.327 0.000 0.661
Cu 0.000 0.500 0.000
Cu 0.673 0.000 0.339
Cu 0.331 0.500 0.664

Calculated values
The calculation puts the formation energy from the elements at -21 kJ/mol of atoms. Its space-group type is P2/m (10). As for the total energy: -4.293 eV per atom.

No. 5
BeCuPt | PBE | relaxed

a b c (Å): 4.965 4.965 2.798
angles (deg): 73.63 73.64 32.73
Positions (direct):
Be 0.004 0.004 0.996
Cu 0.350 0.350 0.650
Pt 0.646 0.646 0.354

Calculated values
The calculation puts the formation energy from the elements at -40 kJ/mol of atoms. Its space-group type is I4mm (107). As for the total energy: -5.034 eV per atom. Its excess energy over the best structure of this formula in the dataset is 0 meV per atom.

No. 6
BeCu2Pt | PBE | relaxed

a b c (Å): 2.608 2.608 8.192
angles (deg): 90.00 90.00 116.64
Positions (direct):
Be 0.500 0.500 0.750
Cu 0.000 0.000 0.969
Cu 0.000 0.000 0.531
Pt 0.500 0.500 0.250

Calculated values
The calculation puts the formation energy from the elements at -1 kJ/mol of atoms. Its space-group type is Cmmm (65). As for the total energy: -4.499 eV per atom.

No. 7
Be3CuPt | PBE | relaxed

a b c (Å): 3.921 3.921 3.921
angles (deg): 90.00 90.00 90.00
Positions (direct):
Be 0.000 0.500 0.000
Be 0.000 0.000 0.500
Be 0.500 0.000 0.000
Cu 0.000 0.000 0.000
Pt 0.500 0.500 0.500

Calculated values
The calculation puts the formation energy from the elements at 44 kJ/mol of atoms. Its space-group type is Pm-3m (221). As for the total energy: -3.811 eV per atom. Its excess energy over the best structure of this formula in the dataset is 59 meV per atom.

No. 8
Be2CuPt | PBE | relaxed

a b c (Å): 4.723 4.723 4.723
angles (deg): 145.60 132.10 60.30
Positions (direct):
Be 0.994 0.994 0.000
Be 0.755 0.255 0.500
Cu 0.513 0.513 0.000
Pt 0.238 0.738 0.500

Calculated values
The calculation puts the formation energy from the elements at -37 kJ/mol of atoms. Its space-group type is Imm2 (44). As for the total energy: -4.778 eV per atom. Its excess energy over the best structure of this formula in the dataset is 94 meV per atom.

No. 9
BeCuPt | PBE | relaxed

a b c (Å): 3.794 3.794 3.777
angles (deg): 89.75 120.13 120.29
Positions (direct):
Be 0.445 0.222 0.667
Cu 0.945 0.472 0.417
Pt 0.944 0.972 0.916

Calculated values
The calculation puts the formation energy from the elements at -32 kJ/mol of atoms. Its space-group type is Cm (8). As for the total energy: -4.955 eV per atom. Its excess energy over the best structure of this formula in the dataset is 78 meV per atom.

No. 10
Be2CuPt | PBE | relaxed

a b c (Å): 3.703 2.701 4.564
angles (deg): 72.86 90.00 90.00
Positions (direct):
Be 0.000 0.198 0.979
Be 0.500 0.051 0.275
Cu 0.000 0.471 0.432
Pt 0.500 0.780 0.814

Calculated values
The calculation puts the formation energy from the elements at -39 kJ/mol of atoms. Its space-group type is Amm2 (38). As for the total energy: -4.798 eV per atom. Its excess energy over the best structure of this formula in the dataset is 74 meV per atom.

No. 11
Be3CuPt2 | PBE | relaxed

a b c (Å): 2.791 2.791 8.515
angles (deg): 90.00 90.00 90.00
Positions (direct):
Be 0.000 0.000 0.000
Be 0.000 0.000 0.656
Be 0.000 0.000 0.344
Cu 0.500 0.500 0.500
Pt 0.500 0.500 0.827
Pt 0.500 0.500 0.173

Calculated values
The calculation puts the formation energy from the elements at -52 kJ/mol of atoms. Its space-group type is P4/mmm (123). As for the total energy: -5.103 eV per atom.

No. 12
Be5Cu4Pt | PBE | relaxed

a b c (Å): 2.741 2.741 13.567
angles (deg): 90.00 90.00 90.00
Positions (direct):
Be 0.500 0.500 0.109
Be 0.500 0.500 0.306
Be 0.500 0.500 0.500
Be 0.500 0.500 0.694
Be 0.500 0.500 0.891
Cu 0.000 0.000 0.208
Cu 0.000 0.000 0.403
Cu 0.000 0.000 0.597
Cu 0.000 0.000 0.792
Pt 0.000 0.000 0.000

Calculated values
The calculation puts the formation energy from the elements at -23 kJ/mol of atoms. Its space-group type is P4/mmm (123). As for the total energy: -4.343 eV per atom.

No. 13
Be2CuPt | PBE | relaxed

a b c (Å): 6.105 6.105 5.009
angles (deg): 52.46 52.46 90.00
Positions (direct):
Be 0.619 0.125 0.250
Be 0.131 0.625 0.250
Be 0.375 0.381 0.750
Be 0.875 0.869 0.750
Cu 0.500 0.500 0.000
Cu 0.250 0.750 0.500
Pt 0.000 0.000 0.000
Pt 0.750 0.250 0.500

Calculated values
The calculation puts the formation energy from the elements at -4 kJ/mol of atoms. Its space-group type is I-42d (122). As for the total energy: -4.437 eV per atom. Its excess energy over the best structure of this formula in the dataset is 435 meV per atom.

No. 14
BeCu3Pt4 | PBE | relaxed

a b c (Å): 2.783 2.783 13.779
angles (deg): 90.00 90.00 90.00
Positions (direct):
Be 0.500 0.500 0.000
Pt 0.000 0.000 0.895
Pt 0.000 0.000 0.105
Pt 0.000 0.000 0.369
Pt 0.000 0.000 0.631
Cu 0.500 0.500 0.239
Cu 0.500 0.500 0.500
Cu 0.500 0.500 0.761

Calculated values
The calculation puts the formation energy from the elements at -31 kJ/mol of atoms. Its space-group type is P4/mmm (123). As for the total energy: -5.340 eV per atom.

No. 15
Be3CuPt | PBE | relaxed

a b c (Å): 4.224 4.224 4.224
angles (deg): 90.00 90.00 90.00
Positions (direct):
Be 0.000 0.500 0.000
Be 0.000 0.000 0.500
Be 0.500 0.000 0.000
Cu 0.500 0.500 0.500
Pt 0.000 0.000 0.000

Calculated values
The calculation puts the formation energy from the elements at 38 kJ/mol of atoms. Its space-group type is Pm-3m (221). As for the total energy: -3.870 eV per atom. Its excess energy over the best structure of this formula in the dataset is 0 meV per atom.

No. 16
BeCuPt | PBE | relaxed

a b c (Å): 2.728 4.477 6.090
angles (deg): 90.00 90.00 90.00
Positions (direct):
Be 0.000 0.250 0.857
Be 0.000 0.750 0.143
Cu 0.000 0.500 0.500
Cu 0.000 0.000 0.500
Pt 0.500 0.750 0.831
Pt 0.500 0.250 0.169

Calculated values
The calculation puts the formation energy from the elements at -27 kJ/mol of atoms. Its space-group type is Pmma (51). As for the total energy: -4.900 eV per atom. Its excess energy over the best structure of this formula in the dataset is 133 meV per atom.

No. 17
BeCu2Pt | PBE | relaxed

a b c (Å): 3.549 2.730 5.182
angles (deg): 74.48 90.00 90.00
Positions (direct):
Be 0.500 0.948 0.715
Cu 0.000 0.812 0.010
Cu 0.500 0.200 0.229
Pt 0.000 0.539 0.545

Calculated values
The calculation puts the formation energy from the elements at -26 kJ/mol of atoms. Its space-group type is Pm (6). As for the total energy: -4.760 eV per atom.

No. 18
Be5CuPt6 | PBE | relaxed

a b c (Å): 4.007 6.008 6.996
angles (deg): 115.43 106.64 90.00
Positions (direct):
Be 0.662 0.162 0.323
Be 0.331 0.331 0.661
Be 0.000 0.500 0.000
Be 0.669 0.669 0.339
Be 0.338 0.838 0.677
Pt 0.830 0.571 0.659
Pt 0.830 0.088 0.659
Pt 0.500 0.734 0.000
Pt 0.500 0.266 0.000
Pt 0.170 0.912 0.341
Pt 0.170 0.429 0.341
Cu 0.000 0.000 0.000

Calculated values
The calculation puts the formation energy from the elements at -63 kJ/mol of atoms. Its space-group type is Immm (71). As for the total energy: -5.563 eV per atom.

No. 19
BeCu2Pt | PBE | relaxed

a b c (Å): 4.433 4.433 2.742
angles (deg): 90.00 90.00 112.76
Positions (direct):
Be 0.000 0.500 0.500
Cu 0.000 0.000 0.000
Cu 0.500 0.500 0.000
Pt 0.500 0.000 0.500

Calculated values
The calculation puts the formation energy from the elements at -11 kJ/mol of atoms. Its space-group type is Cmmm (65). As for the total energy: -4.607 eV per atom.

No. 20
BeCu5Pt6 | PBE | relaxed

a b c (Å): 3.927 6.975 6.265
angles (deg): 90.00 71.73 90.00
Positions (direct):
Be 0.000 0.000 0.000
Pt 0.837 0.752 0.327
Pt 0.837 0.248 0.327
Pt 0.500 0.224 0.000
Pt 0.500 0.776 0.000
Pt 0.163 0.752 0.673
Pt 0.163 0.248 0.673
Cu 0.661 0.500 0.677
Cu 0.326 0.000 0.348
Cu 0.000 0.500 0.000
Cu 0.674 0.000 0.652
Cu 0.339 0.500 0.323

Calculated values
The calculation puts the formation energy from the elements at -21 kJ/mol of atoms. Its space-group type is Cmmm (65). As for the total energy: -5.259 eV per atom.